CuW4Au: relaxed, GGA-PBE.

extended XYZ file:
```
6
Lattice="0.000 3.725 3.725 3.725 0.000 3.725 3.725 3.725 0.000" Properties=species:S:1:pos:R:3 pbc="T T T"
Cu 0.000 0.000 0.000
W 4.662 2.789 2.789
W 2.789 4.662 2.789
W 2.789 2.789 4.662
W 4.662 4.662 4.662
Au 1.863 1.863 1.863
```

Properties
Calculated formation energy, eV/atom: 0.755
Calculated density, g cm⁻³: 15.99

MnPt4Au: relaxed, GGA-PBE.

extended XYZ file:
```
6
Lattice="0.000 3.723 3.723 3.723 0.000 3.723 3.723 3.723 0.000" Properties=species:S:1:pos:R:3 pbc="T T T"
Mn 0.000 0.000 0.000
Pt 4.654 2.793 2.793
Pt 2.793 4.654 2.793
Pt 2.793 2.793 4.654
Pt 4.654 4.654 4.654
Au 1.862 1.862 1.862
```

Properties
Calculated formation energy, eV/atom: -0.002
Calculated density, g cm⁻³: 16.60

Re2HgAs2: relaxed, GGA-PBE.

extended XYZ file:
```
10
Lattice="7.337 0.000 0.000 0.000 7.337 0.000 0.000 0.000 3.125" Properties=species:S:1:pos:R:3 pbc="T T T"
Re 1.066 2.602 0.000
Re 2.602 6.271 0.000
Re 4.735 1.066 0.000
Re 6.271 4.735 0.000
Hg 0.000 0.000 0.000
Hg 3.669 3.669 0.000
As 1.053 4.722 1.563
As 2.616 1.053 1.563
As 4.722 6.284 1.563
As 6.284 2.616 1.563
```

Properties
ΔE to the lowest computed polymorph, eV/atom: 0.000
Calculated formation energy, eV/atom: 0.461
Calculated density, g cm⁻³: 14.27

Pm5GeS5: relaxed, GGA-PBE.

extended XYZ file:
```
11
Lattice="6.472 -2.876 0.000 6.472 2.876 0.000 -2.579 0.000 7.773" Properties=species:S:1:pos:R:3 pbc="T T T"
Pm 0.000 0.000 0.000
Pm 2.613 0.000 5.149
Pm 3.928 0.000 1.374
Pm 6.436 0.000 6.399
Pm 7.750 0.000 2.624
Ge 6.472 0.000 0.000
S 1.345 0.000 2.579
S 0.067 0.000 6.553
S 5.182 0.000 3.886
S 10.297 0.000 1.220
S 9.019 0.000 5.194
```

Properties
ΔE_f (raw), eV per atom: -1.851
Calculated density, g cm⁻³: 5.50

PuSF: relaxed, GGA-PBE.

extended XYZ file:
```
3
Lattice="0.000 3.135 3.135 3.135 0.000 3.135 3.135 3.135 0.000" Properties=species:S:1:pos:R:3 pbc="T T T"
Pu 0.000 0.000 0.000
S 1.568 1.568 1.568
F 4.703 4.703 4.703
```

Properties
ΔE_f (raw), eV per atom: -2.376
Calculated density, g cm⁻³: 7.95

KRb2TlSb2: relaxed, GGA-PBE.

extended XYZ file:
```
12
Lattice="-4.058 8.228 3.889 4.058 -8.228 3.889 4.058 8.228 -3.889" Properties=species:S:1:pos:R:3 pbc="T T T"
K 0.000 0.000 1.944
K 0.000 0.000 5.833
Rb 5.876 2.846 0.000
Rb 1.819 5.383 0.000
Rb 2.239 2.846 3.889
Rb -1.819 5.383 3.889
Tl 4.058 0.000 1.944
Tl 0.000 8.228 1.944
Sb 2.411 1.659 0.000
Sb 2.411 -1.659 3.889
Sb 1.647 9.887 0.000
Sb 1.647 6.569 3.889
```

Properties
ΔE_f (raw), eV per atom: -0.346
Calculated density, g cm⁻³: 4.21

Pm4SmRu: relaxed, GGA-PBE.

extended XYZ file:
```
12
Lattice="8.742 -3.785 0.000 8.742 3.785 0.000 -2.128 0.000 5.720" Properties=species:S:1:pos:R:3 pbc="T T T"
Pm 5.930 1.865 2.209
Pm 8.742 2.215 0.000
Pm 3.986 0.000 4.740
Pm 9.425 1.865 3.511
Pm 5.930 -1.865 2.209
Pm 11.368 0.000 0.980
Pm 8.742 -2.215 0.000
Pm 9.425 -1.865 3.511
Sm 3.068 0.000 1.143
Sm 12.287 0.000 4.577
Ru 8.184 0.000 1.480
Ru 7.171 0.000 4.240
```

Properties
Calculated formation energy, eV/atom: -0.053
Calculated density, g cm⁻³: 7.30

Ac4PIrS2: relaxed, GGA-PBE.

extended XYZ file:
```
8
Lattice="7.627 0.000 0.000 0.000 4.326 0.000 -2.375 0.000 7.250" Properties=species:S:1:pos:R:3 pbc="T T T"
Ac 1.239 0.000 1.744
Ac 0.021 2.163 5.465
Ac 5.230 2.163 1.784
Ac 4.013 0.000 5.506
P -1.188 0.000 3.625
Ir 0.000 2.163 0.000
S 3.813 0.000 0.000
S 2.626 2.163 3.625
```

Properties
ΔE_f (raw), eV per atom: -1.518
Calculated density, g cm⁻³: 8.30

E values, unit eV/atom, following the record order: -9.110, -6.104, -6.438, -6.306, -9.153, -2.620, -5.553, -6.388.